A) Cr2AgMo after structural relaxation, computed with PBE-GGA.

Cell lengths 5.638, 5.638, 5.638 Å; angles 104.77, 104.77, 119.34 degrees
Atoms (fractional coordinates):
Cr: 0.099 0.625 0.974
Cr: 0.375 0.349 0.474
Cr: 0.651 0.125 0.026
Cr: 0.875 0.901 0.526
Ag: 0.250 0.750 0.500
Ag: 0.500 0.500 0.000
Mo: 0.000 0.000 0.000
Mo: 0.750 0.250 0.500



B) Cr2AgMo after structural relaxation, computed with PBE-GGA.

Cell lengths 4.903, 4.903, 2.568 Å; angles 90.00, 90.00, 111.92 degrees
Atoms (fractional coordinates):
Cr: 0.000 0.500 0.000
Cr: 0.500 0.000 0.000
Ag: 0.000 0.000 0.500
Mo: 0.500 0.500 0.500



Which of them is the most stable? Correct choice: B).



A) Tl2MoBr after structural relaxation, computed with PBE-GGA.

Cell lengths 8.318, 8.318, 8.318 Å; angles 157.90, 147.40, 39.74 degrees
Atoms (fractional coordinates):
Tl: 0.000 0.000 0.000
Tl: 0.655 0.155 0.500
Mo: 0.458 0.458 0.000
Br: 0.329 0.829 0.500



B) Tl2MoBr after structural relaxation, computed with PBE-GGA.

Cell lengths 3.340, 3.340, 10.836 Å; angles 90.00, 90.00, 121.27 degrees
Atoms (fractional coordinates):
Tl: 0.000 0.000 0.000
Tl: 0.500 0.500 0.268
Mo: 0.500 0.500 0.777
Br: 0.000 0.000 0.597



Which of them is the most stable? Correct choice: A).